This record from the Alexandria database describes a relaxed structure of TbPuTlOs. The functional is PBE-GGA.

Structure (extended XYZ):
```
4
Lattice="-1.535 0.778 -2.840 1.318 -2.682 -1.447 -6.836 -4.664 2.416" Properties=species:S:1:pos:R:3 pbc="T T T"
Tb -5.404 -4.565 -0.272
Pu -2.635 -2.675 -1.251
Tl -0.493 -0.336 0.174
Os -3.885 -2.650 1.373
```

Properties
Raw total energy: -0.305 hartree per atom
Space-group type: P4mm
ΔH_f (0 K): -0.16 eV/atom
Size of the total moment: 4.7 Bohr magnetons per cell